Entry 1:
First-principles (GGA-PBE) data for crystalline ScReO2 at its relaxed geometry, as listed in Alexandria via LeMat-Bulk.

Computed properties:
Excess energy over the best structure of this formula in the dataset (meV/atom): 654
ρ (Mg/m³): 8.08
N(E_F) (states/eV per cell): 7.00
Symmetry: I-42d
Uncorrected formation energy (eV/atom): -1.235
Total magnetization (μB/f.u.): 0.8

Unit cell a=5.6729 b=5.6729 c=5.6729 alpha=128.72 beta=128.72 gamma=75.46
With the nearest neighbours (Å) after each atom.
Fractional positions:
Sc (0.0000, 0.0000, 0.0000)  4 O 2.02
Sc (0.7500, 0.2500, 0.5000)  4 O 2.02
Re (0.2500, 0.7500, 0.5000)  4 O 2.12
Re (0.5000, 0.5000, 0.0000)  4 O 2.12
O (0.1084, 0.6250, 0.9834)  2 Sc 2.02, 2 Re 2.12
O (0.3750, 0.3584, 0.4834)  2 Sc 2.02, 2 Re 2.12
O (0.6416, 0.1250, 0.0166)  2 Sc 2.02, 2 Re 2.12
O (0.8750, 0.8916, 0.5166)  2 Sc 2.02, 2 Re 2.12

Entry 2:
First-principles (GGA-PBE) data for crystalline CaPr3Pa2N6 at its relaxed geometry, as listed in Alexandria via LeMat-Bulk.

Computed properties:
ρ (Mg/m³): 8.49
N(E_F) (states/eV per cell): 4.81
Symmetry: C2/m
Uncorrected formation energy (eV/atom): -1.456
Total magnetization (μB/f.u.): 0.0

Unit cell a=8.0315 b=8.0315 c=7.2191 alpha=104.05 beta=104.05 gamma=25.94
With the nearest neighbours (Å) after each atom.
Fractional positions:
Ca (0.0000, 0.0000, 0.0000)  6 N 2.52-2.57
Pr (0.0000, 0.0000, 0.5000)  6 N 2.56-2.65
Pr (0.3343, 0.3343, 0.1633)  6 N 2.57-2.77
Pr (0.6657, 0.6657, 0.8367)  6 N 2.57-2.77
Pa (0.3359, 0.3359, 0.6728)  6 N 2.23-2.46
Pa (0.6641, 0.6641, 0.3272)  6 N 2.23-2.46
N (0.1656, 0.1656, 0.1128)  2 Pa 2.38, 1 Ca 2.52, 1 Pr 2.57
N (0.1739, 0.1739, 0.5595)  3 Pa 2.44-2.46, 3 Pr 2.65-2.72
N (0.4831, 0.4831, 0.7402)  1 Pa 2.23
N (0.5169, 0.5169, 0.2598)  1 Pa 2.23
N (0.8261, 0.8261, 0.4405)  3 Pa 2.44-2.46, 3 Pr 2.65-2.72
N (0.8344, 0.8344, 0.8872)  2 Pa 2.38, 1 Ca 2.52, 1 Pr 2.57

Entry 3:
First-principles (GGA-PBE) data for crystalline ZnFe2Cl at its relaxed geometry, as listed in Alexandria via LeMat-Bulk.

Computed properties:
Excess energy over the best structure of this formula in the dataset (meV/atom): 23
ρ (Mg/m³): 5.57
N(E_F) (states/eV per cell): 2.66
Symmetry: R3m
Uncorrected formation energy (eV/atom): 0.090
Total magnetization (μB/f.u.): 5.7

Unit cell a=8.2158 b=8.2158 c=8.2158 alpha=21.17 beta=21.17 gamma=21.17
With the nearest neighbours (Å) after each atom.
Fractional positions:
Zn (0.0000, 0.0000, 0.0000)  3 Fe 2.58
Fe (0.2544, 0.2544, 0.2544)  3 Fe 2.45, 3 Zn 2.58
Fe (0.5163, 0.5163, 0.5163)  3 Cl 2.42, 3 Fe 2.45
Cl (0.7797, 0.7797, 0.7797)  3 Fe 2.42

Entry 4:
First-principles (GGA-PBE) data for crystalline BiBPb2S5 at its relaxed geometry, as listed in Alexandria via LeMat-Bulk.

Computed properties:
ρ (Mg/m³): 6.14
Symmetry: Cmc2_1
Uncorrected formation energy (eV/atom): -0.362
Total magnetization (μB/f.u.): 0.0

Unit cell a=9.0306 b=9.0306 c=12.7482 alpha=90.00 beta=90.00 gamma=155.60
With the nearest neighbours (Å) after each atom.
Fractional positions:
Bi (0.1892, 0.8108, 0.5000)  6 S 2.69-2.99
Bi (0.8108, 0.1892, 0.0000)  6 S 2.69-2.99
B (0.4453, 0.5547, 0.8568)  2 S 1.86-1.88
B (0.5547, 0.4453, 0.3568)  2 S 1.86-1.88
Pb (0.1122, 0.8878, 0.8079)  7 S 2.89-3.20
Pb (0.1256, 0.8744, 0.1411)  7 S 2.91-3.17
Pb (0.8744, 0.1256, 0.6411)  7 S 2.91-3.17
Pb (0.8878, 0.1122, 0.3079)  7 S 2.89-3.20
S (0.0250, 0.9750, 0.4424)  2 B 2.26
S (0.2954, 0.7046, 0.1521)  2 Bi 2.73, 1 Pb 3.00
S (0.3402, 0.6598, 0.8331)  1 B 1.88
S (0.3408, 0.6592, 0.4752)  1 Bi 2.69, 4 Pb 2.91-2.98
S (0.4985, 0.5015, 0.2338)  1 B 1.86
S (0.5015, 0.4985, 0.7338)  1 B 1.86
S (0.6592, 0.3408, 0.9752)  1 Bi 2.69, 4 Pb 2.91-2.98
S (0.6598, 0.3402, 0.3331)  1 B 1.88
S (0.7046, 0.2954, 0.6521)  2 Bi 2.73, 1 Pb 3.00
S (0.9750, 0.0250, 0.9424)  2 B 2.26

Entry 5:
First-principles (GGA-PBE) data for crystalline Sm2SiSnPd6 at its relaxed geometry, as listed in Alexandria via LeMat-Bulk.

Computed properties:
ρ (Mg/m³): 9.03
N(E_F) (states/eV per cell): 3.57
Symmetry: P-1
Uncorrected formation energy (eV/atom): -0.685
Total magnetization (μB/f.u.): 0.0

Unit cell a=5.5331 b=5.8025 c=7.6011 alpha=69.07 beta=88.67 gamma=62.77
With the nearest neighbours (Å) after each atom.
Fractional positions:
Sm (0.1572, 0.0083, 0.2265)  7 Pd 2.84-3.16
Sm (0.8428, 0.9917, 0.7735)  7 Pd 2.84-3.16
Si (0.0000, 0.5000, 0.5000)  6 Pd 2.35-2.39
Sn (0.5000, 0.5000, 0.0000)  4 Pd 2.63-2.72
Pd (0.0764, 0.5592, 0.1792)  1 Si 2.39, 1 Sn 2.63
Pd (0.3415, 0.0264, 0.6499)  1 Si 2.35
Pd (0.3452, 0.5437, 0.6469)  1 Si 2.39
Pd (0.6548, 0.4563, 0.3531)  1 Si 2.39
Pd (0.6585, 0.9736, 0.3501)  1 Si 2.35
Pd (0.9236, 0.4408, 0.8208)  1 Si 2.39, 1 Sn 2.63

Entry 6:
First-principles (GGA-PBE) data for crystalline ScCuPt2 at its relaxed geometry, as listed in Alexandria via LeMat-Bulk.

Computed properties:
ρ (Mg/m³): 13.06
N(E_F) (states/eV per cell): 1.45
Symmetry: Pm
Formation energy from the elements (meV per atom): -689
Total magnetization (μB/f.u.): 0.0

Unit cell a=2.9520 b=3.9327 c=5.4605 alpha=90.00 beta=90.47 gamma=90.00
With the nearest neighbours (Å) after each atom.
Fractional positions:
Sc (0.0000, 0.0000, 0.0000)  6 Pt 2.61-2.85, 4 Cu 2.88-2.90
Cu (0.4991, 0.5000, 0.2776)  6 Pt 2.69-2.77, 4 Sc 2.88-2.90, 2 Cu 2.95
Pt (0.4975, 0.5000, 0.7706)  2 Cu 2.69-2.77, 4 Sc 2.76, 6 Pt 2.92-2.95
Pt (0.9985, 0.0000, 0.4780)  2 Sc 2.61-2.85, 4 Cu 2.69-2.70

Entry 7:
First-principles (GGA-PBE) data for crystalline CaMoCl2 at its relaxed geometry, as listed in Alexandria via LeMat-Bulk.

Computed properties:
Excess energy over the best structure of this formula in the dataset (meV/atom): 645
ρ (Mg/m³): 3.41
N(E_F) (states/eV per cell): 1.46
Symmetry: F-43m
Uncorrected formation energy (eV/atom): 0.092
Total magnetization (μB/f.u.): 6.0

Unit cell a=5.2220 b=5.2220 c=5.2220 alpha=60.00 beta=60.00 gamma=60.00
With the nearest neighbours (Å) after each atom.
Fractional positions:
Ca (0.0000, 0.0000, 0.0000)  4 Cl 3.20, 4 Mo 3.20
Mo (0.2500, 0.2500, 0.2500)  4 Cl 3.20, 4 Ca 3.20
Cl (0.5000, 0.5000, 0.5000)  4 Cl 3.20, 4 Mo 3.20
Cl (0.7500, 0.7500, 0.7500)  4 Cl 3.20, 4 Ca 3.20

Entry 8:
First-principles (GGA-PBE) data for crystalline LaTa2Se2 at its relaxed geometry, as listed in Alexandria via LeMat-Bulk.

Computed properties:
Excess energy over the best structure of this formula in the dataset (meV/atom): 499
ρ (Mg/m³): 10.59
N(E_F) (states/eV per cell): 7.91
Symmetry: P4/mbm
Uncorrected formation energy (eV/atom): 0.026
Total magnetization (μB/f.u.): 0.0

Unit cell a=7.9974 b=7.9974 c=3.2290 alpha=90.00 beta=90.00 gamma=90.00
With the nearest neighbours (Å) after each atom.
Fractional positions:
La (0.0000, 0.0000, 0.0000)  4 Ta 3.19, 2 La 3.23, 8 Se 3.40
La (0.5000, 0.5000, 0.0000)  4 Ta 3.19, 2 La 3.23, 8 Se 3.40
Ta (0.1193, 0.3807, 0.0000)  1 Ta 2.70, 6 Se 2.81-2.93
Ta (0.3807, 0.8807, 0.0000)  1 Ta 2.70, 6 Se 2.81-2.93
Ta (0.6193, 0.1193, 0.0000)  1 Ta 2.70, 6 Se 2.81-2.93
Ta (0.8807, 0.6193, 0.0000)  1 Ta 2.70, 6 Se 2.81-2.93
Se (0.1645, 0.6645, 0.5000)  6 Ta 2.81-2.93
Se (0.3355, 0.1645, 0.5000)  6 Ta 2.81-2.93
Se (0.6645, 0.8355, 0.5000)  6 Ta 2.81-2.93
Se (0.8355, 0.3355, 0.5000)  6 Ta 2.81-2.93

Entry 9:
First-principles (GGA-PBE) data for crystalline Zn2FeSi2 at its relaxed geometry, as listed in Alexandria via LeMat-Bulk.

Computed properties:
Excess energy over the best structure of this formula in the dataset (meV/atom): 338
ρ (Mg/m³): 5.29
N(E_F) (states/eV per cell): 4.69
Symmetry: I4/mmm
Uncorrected formation energy (eV/atom): 0.473
Total magnetization (μB/f.u.): 2.3

Unit cell a=6.9143 b=6.9143 c=6.9143 alpha=151.28 beta=151.28 gamma=41.07
With the nearest neighbours (Å) after each atom.
Fractional positions:
Zn (0.2500, 0.7500, 0.5000)  4 Zn 2.43, 4 Si 2.67
Zn (0.7500, 0.2500, 0.5000)  4 Zn 2.43, 4 Si 2.67
Fe (0.0000, 0.0000, 0.0000)  8 Si 2.70
Si (0.4084, 0.4084, 0.0000)  1 Si 2.37
Si (0.5916, 0.5916, 0.0000)  1 Si 2.37

Entry 10:
First-principles (GGA-PBE) data for crystalline KEu3 at its relaxed geometry, as listed in Alexandria via LeMat-Bulk.

Computed properties:
Excess energy over the best structure of this formula in the dataset (meV/atom): 0
ρ (Mg/m³): 4.16
N(E_F) (states/eV per cell): 28.27
Symmetry: Pm-3m
Formation energy from the elements (meV per atom): 200
Total magnetization (μB/f.u.): 22.7

Unit cell a=5.8259 b=5.8259 c=5.8259 alpha=90.00 beta=90.00 gamma=90.00
With the nearest neighbours (Å) after each atom.
Fractional positions:
K (0.0000, 0.0000, 0.0000)  12 Eu 4.12
Eu (0.0000, 0.5000, 0.5000)  4 K 4.12, 8 Eu 4.12
Eu (0.5000, 0.0000, 0.5000)  4 K 4.12, 8 Eu 4.12
Eu (0.5000, 0.5000, 0.0000)  4 K 4.12, 8 Eu 4.12

Entry 11:
First-principles (GGA-PBE) data for crystalline CuAsWBr2 at its relaxed geometry, as listed in Alexandria via LeMat-Bulk.

Computed properties:
Excess energy over the best structure of this formula in the dataset (meV/atom): 0
ρ (Mg/m³): 6.17
N(E_F) (states/eV per cell): 4.31
Symmetry: P4/mmm
Uncorrected formation energy (eV/atom): 0.788
Total magnetization (μB/f.u.): 0.7

Unit cell a=5.1491 b=5.1491 c=4.8958 alpha=90.00 beta=90.00 gamma=90.00
With the nearest neighbours (Å) after each atom.
Fractional positions:
Cu (0.0000, 0.0000, 0.0000)  8 Br 3.55, 4 As 3.64
As (0.5000, 0.5000, 0.0000)  2 W 2.45
W (0.5000, 0.5000, 0.5000)  2 As 2.45, 4 Br 2.57
Br (0.0000, 0.5000, 0.5000)  2 W 2.57
Br (0.5000, 0.0000, 0.5000)  2 W 2.57

Entry 12:
First-principles (GGA-PBE) data for crystalline MgCdNi2 at its relaxed geometry, as listed in Alexandria via LeMat-Bulk.

Computed properties:
ρ (Mg/m³): 6.86
N(E_F) (states/eV per cell): 5.19
Symmetry: P4mm
Formation energy from the elements (meV per atom): -2
Total magnetization (μB/f.u.): 0.3

Unit cell a=2.9968 b=2.9968 c=6.8459 alpha=90.00 beta=90.00 gamma=90.00
With the nearest neighbours (Å) after each atom.
Fractional positions:
Mg (0.0000, 0.0000, 0.0000)  5 Ni 2.64-2.80
Cd (0.5000, 0.5000, 0.6601)  5 Ni 2.73-2.94, 4 Cd 3.00
Ni (0.0000, 0.0000, 0.4084)  4 Ni 2.45, 4 Cd 2.73
Ni (0.5000, 0.5000, 0.2301)  4 Ni 2.45, 4 Mg 2.64

What is the formula in the first record? ScReO2